Entry 1:
Here is an optimized crystal structure of PaCu6Si2 from Alexandria. Energies are from PBE.

Computed properties:
As for the space group: No. 123. The value obtained for the energy relative to the elements, uncorrected is -2.07 eV per formula unit.

a = 3.947 Å, b = 3.947 Å, c = 8.168 Å
α = 90.00°, β = 90.00°, γ = 90.00°
Fractional coordinates of all 9 atoms:
Pa (0.000, 0.000, 0.000)
Cu (0.000, 0.000, 0.500)
Cu (0.000, 0.500, 0.304)
Cu (0.000, 0.500, 0.696)
Cu (0.500, 0.000, 0.304)
Cu (0.500, 0.000, 0.696)
Cu (0.500, 0.500, 0.500)
Si (0.500, 0.500, 0.144)
Si (0.500, 0.500, 0.856)

=====

Entry 2:
Here is an optimized crystal structure of LiCrCl2 from Alexandria. Energies are from PBE.

Computed properties:
As for the space group: No. 8. The energy relative to the lowest polymorph listed for this composition comes out at 120 meV/atom. The value obtained for the energy relative to the elements, uncorrected is -3.64 eV per formula unit.

a = 3.933 Å, b = 3.933 Å, c = 6.805 Å
α = 91.00°, β = 91.00°, γ = 60.16°
Fractional coordinates of all 4 atoms:
Li (0.000, 0.000, 0.000)
Cr (0.637, 0.637, 0.468)
Cl (0.668, 0.668, 0.111)
Cl (0.988, 0.988, 0.649)

=====

Entry 3:
Here is an optimized crystal structure of InMo2Rh from Alexandria. Energies are from PBE.

Computed properties:
As for the space group: No. 123. The formation energy comes out at 439 meV/atom.

a = 4.856 Å, b = 4.856 Å, c = 2.831 Å
α = 90.00°, β = 90.00°, γ = 90.00°
Fractional coordinates of all 4 atoms:
In (0.000, 0.000, 0.000)
Mo (0.000, 0.500, 0.500)
Mo (0.500, 0.000, 0.500)
Rh (0.500, 0.500, 0.000)

=====

| no. | calculated volume (Å³/atom) | M_tot (μB/cell) |
| --- | --- | --- |
| 1 | 14.14 | 0.00 |
| 2 | 22.82 | 5.00 |
| 3 | 16.69 | 0.00 |